(1)
The following is a PBE-GGA calculation of a relaxed structure of La3Tc, from the Alexandria database.

Cell and atoms, written as CIF:
```
data_La3Tc
_chemical_formula_sum 'La9 Tc3'
_cell_length_a 10.458
_cell_length_b 10.458
_cell_length_c 3.445
_cell_angle_alpha 90.00
_cell_angle_beta 90.00
_cell_angle_gamma 120.00
_space_group_name_H-M_alt 'P 1'
_space_group_IT_number 1
_space_group_name_Hall 'P 1'
loop_
_atom_site_label
_atom_site_type_symbol
_atom_site_fract_x
_atom_site_fract_y
_atom_site_fract_z
La1 La 0.000 0.500 0.000
La2 La 0.167 0.333 0.333
La3 La 0.167 0.833 0.333
La4 La 0.333 0.167 0.667
La5 La 0.500 0.000 0.000
La6 La 0.500 0.500 0.000
La7 La 0.667 0.833 0.333
La8 La 0.833 0.167 0.667
La9 La 0.833 0.667 0.667
Tc1 Tc 0.000 0.000 0.000
Tc2 Tc 0.333 0.667 0.667
Tc3 Tc 0.667 0.333 0.333
```

Output
Calculated total energy ... -23.33 eV per formula unit
Calculated formation energy ... 0.45 eV per atom

(2)
The following is a PBE-GGA calculation of a relaxed structure of Y2HfF, from the Alexandria database.

Cell and atoms, written as CIF:
```
data_Y2HfF
_chemical_formula_sum 'Y8 Hf4 F4'
_cell_length_a 7.347
_cell_length_b 7.347
_cell_length_c 7.347
_cell_angle_alpha 90.00
_cell_angle_beta 90.00
_cell_angle_gamma 90.00
_space_group_name_H-M_alt 'P 1'
_space_group_IT_number 1
_space_group_name_Hall 'P 1'
loop_
_atom_site_label
_atom_site_type_symbol
_atom_site_fract_x
_atom_site_fract_y
_atom_site_fract_z
Y1 Y 0.250 0.250 0.250
Y2 Y 0.250 0.250 0.750
Y3 Y 0.250 0.750 0.250
Y4 Y 0.250 0.750 0.750
Y5 Y 0.750 0.250 0.250
Y6 Y 0.750 0.250 0.750
Y7 Y 0.750 0.750 0.250
Y8 Y 0.750 0.750 0.750
Hf1 Hf 0.000 0.000 0.000
Hf2 Hf 0.000 0.500 0.500
Hf3 Hf 0.500 0.000 0.500
Hf4 Hf 0.500 0.500 0.000
F1 F 0.000 0.000 0.500
F2 F 0.000 0.500 0.000
F3 F 0.500 0.000 0.000
F4 F 0.500 0.500 0.500
```

Output
Energy above the most stable polymorph in this dataset ... 854 meV per atom
Calculated total energy ... -24.77 eV per formula unit
E_form (uncorrected) ... -0.019 eV per formula unit

(3)
The following is a PBE-GGA calculation of a relaxed structure of LiGeSeBr, from the Alexandria database.

Cell and atoms, written as CIF:
```
data_LiGeSeBr
_chemical_formula_sum 'Li2 Ge2 Se2 Br2'
_cell_length_a 6.821
_cell_length_b 3.937
_cell_length_c 8.182
_cell_angle_alpha 90.00
_cell_angle_beta 106.23
_cell_angle_gamma 90.00
_space_group_name_H-M_alt 'P 1'
_space_group_IT_number 1
_space_group_name_Hall 'P 1'
loop_
_atom_site_label
_atom_site_type_symbol
_atom_site_fract_x
_atom_site_fract_y
_atom_site_fract_z
Li1 Li 0.000 0.000 0.000
Li2 Li 0.500 0.500 0.000
Ge1 Ge 0.158 0.000 0.484
Ge2 Ge 0.658 0.500 0.484
Se1 Se 0.383 0.500 0.658
Se2 Se 0.883 0.000 0.658
Br1 Br 0.207 0.500 0.121
Br2 Br 0.707 0.000 0.121
```

Output
Calculated total energy ... -14.94 eV per formula unit
E_form (uncorrected) ... -3.250 eV per formula unit

(4)
The following is a PBE-GGA calculation of a relaxed structure of ThCdGe, from the Alexandria database.

Cell and atoms, written as CIF:
```
data_ThCdGe
_chemical_formula_sum 'Th2 Cd2 Ge2'
_cell_length_a 8.385
_cell_length_b 8.385
_cell_length_c 8.385
_cell_angle_alpha 34.42
_cell_angle_beta 34.42
_cell_angle_gamma 34.42
_space_group_name_H-M_alt 'P 1'
_space_group_IT_number 1
_space_group_name_Hall 'P 1'
loop_
_atom_site_label
_atom_site_type_symbol
_atom_site_fract_x
_atom_site_fract_y
_atom_site_fract_z
Th1 Th 0.091 0.091 0.091
Th2 Th 0.909 0.909 0.909
Cd1 Cd 0.333 0.333 0.333
Cd2 Cd 0.667 0.667 0.667
Ge1 Ge 0.214 0.214 0.214
Ge2 Ge 0.786 0.786 0.786
```

Output
Calculated total energy ... -13.57 eV per formula unit
Calculated formation energy ... -0.21 eV per atom

(5)
The following is a PBE-GGA calculation of a relaxed structure of TlVAs2, from the Alexandria database.

Cell and atoms, written as CIF:
```
data_TlVAs2
_chemical_formula_sum 'Tl3 V3 As6'
_cell_length_a 3.533
_cell_length_b 3.533
_cell_length_c 23.492
_cell_angle_alpha 90.00
_cell_angle_beta 90.00
_cell_angle_gamma 120.00
_space_group_name_H-M_alt 'P 1'
_space_group_IT_number 1
_space_group_name_Hall 'P 1'
loop_
_atom_site_label
_atom_site_type_symbol
_atom_site_fract_x
_atom_site_fract_y
_atom_site_fract_z
Tl1 Tl 0.000 0.000 0.000
Tl2 Tl 0.333 0.667 0.667
Tl3 Tl 0.667 0.333 0.333
V1 V 0.000 0.000 0.500
V2 V 0.333 0.667 0.167
V3 V 0.667 0.333 0.833
As1 As 0.000 0.000 0.230
As2 As 0.000 0.000 0.770
As3 As 0.333 0.667 0.437
As4 As 0.333 0.667 0.897
As5 As 0.667 0.333 0.103
As6 As 0.667 0.333 0.563
```

Output
Energy above the most stable polymorph in this dataset ... 1 meV per atom
Calculated total energy ... -21.13 eV per formula unit
Calculated formation energy ... -0.09 eV per atom

(6)
The following is a PBE-GGA calculation of a relaxed structure of Sr2LaGeO, from the Alexandria database.

Cell and atoms, written as CIF:
```
data_Sr2LaGeO
_chemical_formula_sum 'Sr2 La1 Ge1 O1'
_cell_length_a 5.039
_cell_length_b 5.039
_cell_length_c 5.028
_cell_angle_alpha 90.00
_cell_angle_beta 90.00
_cell_angle_gamma 90.00
_space_group_name_H-M_alt 'P 1'
_space_group_IT_number 1
_space_group_name_Hall 'P 1'
loop_
_atom_site_label
_atom_site_type_symbol
_atom_site_fract_x
_atom_site_fract_y
_atom_site_fract_z
Sr1 Sr 0.000 0.500 0.000
Sr2 Sr 0.500 0.000 0.000
La1 La 0.000 0.000 0.500
Ge1 Ge 0.500 0.500 0.500
O1 O 0.000 0.000 0.000
```

Output
Calculated total energy ... -24.61 eV per formula unit
E_form (uncorrected) ... -6.741 eV per formula unit

(7)
The following is a PBE-GGA calculation of a relaxed structure of KMoS2, from the Alexandria database.

Cell and atoms, written as CIF:
```
data_KMoS2
_chemical_formula_sum 'K4 Mo4 S8'
_cell_length_a 6.543
_cell_length_b 6.543
_cell_length_c 6.543
_cell_angle_alpha 90.00
_cell_angle_beta 90.00
_cell_angle_gamma 90.00
_space_group_name_H-M_alt 'P 1'
_space_group_IT_number 1
_space_group_name_Hall 'P 1'
loop_
_atom_site_label
_atom_site_type_symbol
_atom_site_fract_x
_atom_site_fract_y
_atom_site_fract_z
K1 K 0.000 0.000 0.000
K2 K 0.000 0.500 0.500
K3 K 0.500 0.000 0.500
K4 K 0.500 0.500 0.000
Mo1 Mo 0.000 0.000 0.500
Mo2 Mo 0.000 0.500 0.000
Mo3 Mo 0.500 0.000 0.000
Mo4 Mo 0.500 0.500 0.500
S1 S 0.250 0.250 0.250
S2 S 0.250 0.250 0.750
S3 S 0.250 0.750 0.250
S4 S 0.250 0.750 0.750
S5 S 0.750 0.250 0.250
S6 S 0.750 0.250 0.750
S7 S 0.750 0.750 0.250
S8 S 0.750 0.750 0.750
```

Output
Calculated total energy ... -19.77 eV per formula unit
E_form (uncorrected) ... 0.413 eV per formula unit

(8)
The following is a PBE-GGA calculation of a relaxed structure of BaGdZnCd, from the Alexandria database.

Cell and atoms, written as CIF:
```
data_BaGdZnCd
_chemical_formula_sum 'Ba4 Gd4 Zn4 Cd4'
_cell_length_a 7.874
_cell_length_b 7.874
_cell_length_c 7.874
_cell_angle_alpha 90.00
_cell_angle_beta 90.00
_cell_angle_gamma 90.00
_space_group_name_H-M_alt 'P 1'
_space_group_IT_number 1
_space_group_name_Hall 'P 1'
loop_
_atom_site_label
_atom_site_type_symbol
_atom_site_fract_x
_atom_site_fract_y
_atom_site_fract_z
Ba1 Ba 0.000 0.000 0.000
Ba2 Ba 0.000 0.500 0.500
Ba3 Ba 0.500 0.000 0.500
Ba4 Ba 0.500 0.500 0.000
Gd1 Gd 0.000 0.000 0.500
Gd2 Gd 0.000 0.500 0.000
Gd3 Gd 0.500 0.000 0.000
Gd4 Gd 0.500 0.500 0.500
Zn1 Zn 0.250 0.250 0.750
Zn2 Zn 0.250 0.750 0.250
Zn3 Zn 0.750 0.250 0.250
Zn4 Zn 0.750 0.750 0.750
Cd1 Cd 0.250 0.250 0.250
Cd2 Cd 0.250 0.750 0.750
Cd3 Cd 0.750 0.250 0.750
Cd4 Cd 0.750 0.750 0.250
```

Output
Calculated total energy ... -18.80 eV per formula unit
Calculated formation energy ... -0.15 eV per atom